No. 1
DFT (PBE) results for an optimized crystal structure of Na2U3S6.

Structure (POSCAR):
```
Na2U3S6
1.0
6.589 0.000 1.955
3.295 5.948 0.978
0.253 0.000 7.149
Na U S
2 3 6
Direct
0.167 0.665 0.500 Na
0.833 0.335 0.500 Na
0.000 0.000 0.000 U
0.336 0.329 0.000 U
0.664 0.671 0.000 U
0.407 0.663 0.778 S
0.745 0.000 0.775 S
0.070 0.337 0.778 S
0.255 0.000 0.225 S
0.593 0.337 0.222 S
0.930 0.663 0.222 S
```

formation energy from raw total energies = -1375 meV per atom

---

No. 2
DFT (PBE) results for an optimized crystal structure of LaLu2Pd.

Structure (POSCAR):
```
LaLu2Pd
1.0
-2.089 -1.847 -2.145
2.592 -2.321 -0.525
-2.797 -4.643 6.722
Lu Pd La
2 1 1
Direct
0.000 0.000 0.812 Lu
0.000 0.000 0.188 Lu
0.500 0.500 0.000 Pd
0.500 0.500 0.500 La
```

energy relative to the elements = -1.8 eV/f.u.
energy above the most stable polymorph in this dataset = 0.000 eV/f.u.

---

No. 3
DFT (PBE) results for an optimized crystal structure of BaEu2Al.

Structure (POSCAR):
```
BaEu2Al
1.0
-2.906 2.544 0.885
-2.614 -2.351 -1.828
-1.614 -4.786 8.462
Eu Ba Al
2 1 1
Direct
0.000 0.000 0.824 Eu
0.000 0.000 0.176 Eu
0.500 0.500 0.500 Ba
0.500 0.500 0.000 Al
```

energy relative to the elements = -0.3 eV/f.u.
energy above the most stable polymorph in this dataset = 0.000 eV/f.u.

---

No. 4
DFT (PBE) results for an optimized crystal structure of AcEu3H.

Structure (POSCAR):
```
AcEu3H
1.0
-2.057 -4.107 -2.947
1.662 -3.554 3.793
-4.774 0.532 2.591
Eu H Ac
3 1 1
Direct
0.000 0.500 0.000 Eu
0.000 0.000 0.500 Eu
0.500 0.000 0.000 Eu
0.000 0.000 0.000 H
0.500 0.500 0.500 Ac
```

uncorrected energy = -7.771 eV per atom

---

No. 5
DFT (PBE) results for an optimized crystal structure of CaNiP2S.

Structure (POSCAR):
```
CaNiP2S
1.0
5.180 0.000 0.000
0.000 5.180 0.000
0.000 0.000 5.045
Ni Ca S P
1 1 1 2
Direct
0.500 0.500 0.500 Ni
0.000 0.000 0.000 Ca
0.000 0.000 0.500 S
0.000 0.500 0.000 P
0.500 0.000 0.000 P
```

formation energy from raw total energies = 1300 meV per atom
energy above the most stable polymorph in this dataset = 7.705 eV/f.u.

---

No. 6
DFT (PBE) results for an optimized crystal structure of TiSiAg3.

Structure (POSCAR):
```
TiSiAg3
1.0
-4.047 -1.392 -1.993
1.675 -4.402 -0.326
-1.762 -0.987 4.267
Si Ag Ti
1 3 1
Direct
0.000 0.000 0.000 Si
0.000 0.500 0.000 Ag
0.000 0.000 0.500 Ag
0.500 0.000 0.000 Ag
0.500 0.500 0.500 Ti
```

formation energy from raw total energies = 588 meV per atom
energy above the most stable polymorph in this dataset = 0.000 eV/f.u.

---

No. 7
DFT (PBE) results for an optimized crystal structure of LaY2Cl.

Structure (POSCAR):
```
LaY2Cl
1.0
-6.131 -0.666 0.515
-4.712 -2.198 3.356
-3.111 4.154 3.795
Cl La Y
1 1 2
Direct
0.454 0.454 0.375 Cl
0.195 0.195 0.365 La
0.029 0.029 0.982 Y
0.821 0.821 0.778 Y
```

formation energy from raw total energies = -552 meV per atom
energy above the most stable polymorph in this dataset = 0.477 eV/f.u.

---

No. 8
DFT (PBE) results for an optimized crystal structure of Nd8Sm3Y3.

Structure (POSCAR):
```
Nd8Sm3Y3
1.0
5.641 0.000 1.134
2.773 9.434 0.789
1.071 -3.228 9.259
Nd Sm Y
8 3 3
Direct
0.658 0.118 0.565 Nd
0.342 0.882 0.435 Nd
0.658 0.565 0.118 Nd
0.342 0.435 0.882 Nd
0.838 0.766 0.559 Nd
0.162 0.234 0.441 Nd
0.838 0.559 0.766 Nd
0.162 0.441 0.234 Nd
0.500 0.000 0.000 Sm
0.000 0.819 0.181 Sm
0.000 0.181 0.819 Sm
0.500 0.500 0.500 Y
0.802 0.198 0.198 Y
0.198 0.802 0.802 Y
```

energy relative to the elements = 1.4 eV/f.u.

---

No. 9
DFT (PBE) results for an optimized crystal structure of Tb4PmPr4.

Structure (POSCAR):
```
Tb4PmPr4
1.0
5.142 0.000 0.000
2.571 7.726 0.000
2.571 0.000 7.726
Tb Pm Pr
4 1 4
Direct
0.664 0.336 0.336 Tb
0.336 0.664 0.664 Tb
0.000 0.664 0.336 Tb
0.000 0.336 0.664 Tb
0.000 0.000 0.000 Pm
0.667 0.666 0.000 Pr
0.333 0.334 0.000 Pr
0.667 0.000 0.666 Pr
0.333 0.000 0.334 Pr
```

energy relative to the elements = 0.2 eV/f.u.

---

No. 10
DFT (PBE) results for an optimized crystal structure of NiMoW2.

Structure (POSCAR):
```
NiMoW2
1.0
4.838 -0.054 0.000
-1.658 4.545 0.000
0.000 0.000 2.741
Mo Ni W
1 1 2
Direct
0.500 0.000 0.500 Mo
0.000 0.500 0.500 Ni
0.000 0.000 0.000 W
0.500 0.500 0.000 W
```

energy relative to the elements = 1.0 eV/f.u.
energy above the most stable polymorph in this dataset = 0.773 eV/f.u.

---

No. 11
DFT (PBE) results for an optimized crystal structure of V3Co7Mo.

Structure (POSCAR):
```
V3Co7Mo
1.0
-0.794 -1.867 4.003
5.989 0.445 -1.918
0.009 6.293 -0.378
V Co Mo
3 7 1
Direct
0.000 0.772 0.228 V
0.500 0.000 0.000 V
0.000 0.228 0.772 V
0.281 0.186 0.186 Co
0.319 0.033 0.600 Co
0.681 0.400 0.967 Co
0.319 0.600 0.033 Co
0.000 0.500 0.500 Co
0.681 0.967 0.400 Co
0.719 0.814 0.814 Co
0.500 0.500 0.500 Mo
```

energy relative to the elements = 3.1 eV/f.u.

---

No. 12
DFT (PBE) results for an optimized crystal structure of Ti2InPd.

Structure (POSCAR):
```
Ti2InPd
1.0
-2.972 2.380 -0.313
-3.547 -1.284 0.603
-1.642 1.855 6.382
Ti In Pd
2 1 1
Direct
0.068 0.068 0.797 Ti
0.269 0.269 0.192 Ti
0.501 0.501 0.497 In
0.662 0.662 0.014 Pd
```

energy relative to the elements = 0.3 eV/f.u.

---

> Which formula does entry 8 have?

Nd8Sm3Y3